1.
A plane-wave DFT calculation with PBE-GGA was carried out for a relaxed structure of ZrTaMo.

POSCAR file:
```
ZrTaMo
1.0
-1.3947 2.4433 4.1437
1.3947 -2.4433 4.1437
1.3947 2.4433 -4.1437
Zr Ta Mo
1 1 1
direct
0.0000 0.0000 0.0000
0.6589 0.6589 0.0000
0.3316 0.3316 0.0000
```

Properties
Its crystal system is orthorhombic. The calculation puts the total magnetization at 0.00 μB/f.u. For the energy relative to the lowest polymorph listed for this composition, the calculation gives 337.1 meV per atom. The formation energy is 0.223 eV/atom.

2.
A plane-wave DFT calculation with PBE-GGA was carried out for a relaxed structure of ZrTaMo.

POSCAR file:
```
ZrTaMo
1.0
-2.6719 2.8224 3.8509
2.6719 -2.8224 3.8509
2.6719 2.8224 -3.8509
Zr Ta Mo
2 2 2
direct
0.3735 0.1235 0.2500
0.6265 0.8765 0.7500
0.0000 0.5000 0.5000
0.5000 0.5000 0.0000
0.0000 0.0000 0.5000
0.0000 0.5000 0.0000
```

Properties
Its crystal system is orthorhombic. The calculation puts the total magnetization at 0.00 μB/f.u. For the energy relative to the lowest polymorph listed for this composition, the calculation gives 0.0 meV per atom. The formation energy is -0.115 eV/atom.

3.
A plane-wave DFT calculation with PBE-GGA was carried out for a relaxed structure of ZrTa2Mo.

POSCAR file:
```
ZrTa2Mo
1.0
-1.6508 2.3927 4.6921
1.6508 -2.3927 4.6921
1.6508 2.3927 -4.6921
Zr Ta Mo
1 2 1
direct
0.0000 0.0000 0.0000
0.4733 0.4733 0.0000
0.7339 0.2339 0.5000
0.2459 0.7459 0.5000
```

Properties
Its crystal system is orthorhombic. The calculation puts the total magnetization at 0.00 μB/f.u. For the energy relative to the lowest polymorph listed for this composition, the calculation gives 42.1 meV per atom. The formation energy is 0.013 eV/atom.

4.
A plane-wave DFT calculation with PBE-GGA was carried out for a relaxed structure of ZrTa2Mo.

POSCAR file:
```
ZrTa2Mo
1.0
3.2867 0.0000 0.0000
0.0000 3.2867 0.0000
0.0000 0.0000 6.8876
Zr Ta Mo
1 2 1
direct
0.0000 0.0000 0.0000
0.0000 0.0000 0.4754
0.5000 0.5000 0.7224
0.5000 0.5000 0.2558
```

Properties
Its crystal system is tetragonal. The calculation puts the total magnetization at 0.00 μB/f.u. For the energy relative to the lowest polymorph listed for this composition, the calculation gives 40.5 meV per atom. The formation energy is 0.012 eV/atom.

5.
A plane-wave DFT calculation with PBE-GGA was carried out for a relaxed structure of ZrTa2Mo.

POSCAR file:
```
ZrTa2Mo
1.0
2.9181 0.0000 0.0000
0.0000 4.6455 0.0000
-1.0633 0.0000 5.4620
Zr Ta Mo
1 2 1
direct
0.0000 0.0000 0.0000
0.2927 0.5000 0.7365
0.5718 0.0000 0.4875
0.7812 0.5000 0.2525
```

Properties
Its crystal system is monoclinic. The calculation puts the total magnetization at 0.00 μB/f.u. For the energy relative to the lowest polymorph listed for this composition, the calculation gives 78.9 meV per atom. The formation energy is 0.050 eV/atom.

6.
A plane-wave DFT calculation with PBE-GGA was carried out for a relaxed structure of ZrTa2Mo.

POSCAR file:
```
ZrTa2Mo
1.0
1.6398 -2.4206 0.0000
1.6398 2.4206 0.0000
0.0000 0.0000 9.3422
Zr Ta Mo
1 2 1
direct
0.0000 0.0000 0.0000
0.0000 0.0000 0.4757
0.5000 0.5000 0.7239
0.5000 0.5000 0.2486
```

Properties
Its crystal system is orthorhombic. The calculation puts the total magnetization at 0.00 μB/f.u. For the energy relative to the lowest polymorph listed for this composition, the calculation gives 67.9 meV per atom. The formation energy is 0.039 eV/atom.

7.
A plane-wave DFT calculation with PBE-GGA was carried out for a relaxed structure of ZrTa2Mo.

POSCAR file:
```
ZrTa2Mo
1.0
1.6247 -2.4320 0.0000
1.6247 2.4320 0.0000
0.0000 0.0000 9.4421
Zr Ta Mo
1 2 1
direct
0.0000 0.0000 0.0000
0.5000 0.5000 0.2729
0.5000 0.5000 0.7271
0.0000 0.0000 0.5000
```

Properties
Its crystal system is orthorhombic. The calculation puts the total magnetization at 0.00 μB/f.u. For the energy relative to the lowest polymorph listed for this composition, the calculation gives 58.6 meV per atom. The formation energy is 0.030 eV/atom.

8.
A plane-wave DFT calculation with PBE-GGA was carried out for a relaxed structure of ZrTaMo.

POSCAR file:
```
ZrTaMo
1.0
4.6411 0.0000 0.0000
-2.3205 4.0193 0.0000
0.0000 0.0000 2.9950
Zr Ta Mo
1 1 1
direct
0.0000 0.0000 0.0000
0.3333 0.6667 0.5960
0.6667 0.3333 0.3157
```

Properties
Its crystal system is trigonal. The calculation puts the total magnetization at 0.00 μB/f.u. For the energy relative to the lowest polymorph listed for this composition, the calculation gives 131.6 meV per atom. The formation energy is 0.017 eV/atom.